Compound: CaMn4O8
Source: Alexandria
Functional: GGA+U
Structure: optimized geometry

Unit cell a=6.4638 b=6.4638 c=9.3799 alpha=90.00 beta=90.00 gamma=126.61
Fractional positions:
Ca  0.1337  0.8663  0.5000
Ca  0.8663  0.1337  0.0000
Mn  0.1348  0.3677  0.6021
Mn  0.1628  0.8372  0.8192
Mn  0.3455  0.6545  0.3114
Mn  0.3677  0.1348  0.1021
Mn  0.6323  0.8652  0.6021
Mn  0.6545  0.3455  0.8114
Mn  0.8372  0.1628  0.3192
Mn  0.8652  0.6323  0.1021
O  0.0217  0.4850  0.4175
O  0.0554  0.9446  0.9815
O  0.1585  0.3244  0.2140
O  0.1831  0.8169  0.2102
O  0.2920  0.7080  0.6832
O  0.3244  0.1585  0.7140
O  0.4501  0.5499  0.4819
O  0.4850  0.0217  0.9175
O  0.5150  0.9783  0.4175
O  0.5499  0.4501  0.9819
O  0.6756  0.8415  0.2140
O  0.7080  0.2920  0.1832
O  0.8169  0.1831  0.7102
O  0.8415  0.6756  0.7140
O  0.9446  0.0554  0.4815
O  0.9783  0.5150  0.9175

* energy relative to the lowest polymorph listed for this composition: 56.7 meV per atom
* mass density: 4.1 g cm⁻³
* size of the total moment: 28.00 Bohr magnetons per cell